# 1
The following is a PBE-GGA calculation of TiBeGa3 after structural relaxation, from Alexandria via LeMat-Bulk.

Properties
Distance to the lowest polymorph of the same formula ... 582 meV per atom
Calculated formation energy ... 0.966 eV per atom
E_tot ... -3.17 eV per atom

Cell and atoms, written as POSCAR:
```
TiBeGa3
1.0
4.949 0.000 0.000
0.000 4.949 0.000
0.000 0.000 4.949
Ti Be Ga
1 1 3
direct
0.000 0.000 0.000
0.500 0.500 0.500
0.000 0.000 0.500
0.000 0.500 0.000
0.500 0.000 0.000
```


# 2
The following is a PBE-GGA calculation of B5C7 after structural relaxation, from Alexandria via LeMat-Bulk.

Properties
Distance to the lowest polymorph of the same formula ... 102 meV per atom
Calculated formation energy ... 0.360 eV per atom
E_tot ... -7.80 eV per atom

Cell and atoms, written as POSCAR:
```
B5C7
1.0
4.323 -1.236 0.000
4.323 1.236 0.000
-3.939 0.000 7.286
B C
5 7
direct
0.000 0.000 0.000
0.005 0.005 0.482
0.329 0.329 0.627
0.538 0.538 0.868
0.810 0.810 0.024
0.167 0.167 0.203
0.181 0.181 0.691
0.325 0.325 0.169
0.501 0.501 0.339
0.666 0.666 0.315
0.667 0.667 0.783
0.832 0.832 0.502
```


# 3
The following is a PBE-GGA calculation of CoSiPb3 after structural relaxation, from Alexandria via LeMat-Bulk.

Properties
Distance to the lowest polymorph of the same formula ... 563 meV per atom
Formation energy from raw total energies ... 1085 meV per atom
E_tot ... -3.65 eV per atom

Cell and atoms, written as POSCAR:
```
CoSiPb3
1.0
5.364 0.000 0.000
0.000 5.364 0.000
0.000 0.000 5.364
Co Si Pb
1 1 3
direct
0.000 0.000 0.000
0.500 0.500 0.500
0.000 0.500 0.500
0.500 0.000 0.500
0.500 0.500 0.000
```